An optimized crystal structure of LaPmDy2Ho4, computed with PBE.

Cell: 7.1667 7.1721 10.0422 Å, 89.97 89.96 89.95°
Element x y z (fractional)
La: 0.0000 0.0000 0.0000
La: 0.5000 0.0000 0.0000
Pm: 0.0000 0.0000 0.5000
Pm: 0.0000 0.5000 0.0000
Dy: 0.0000 0.5000 0.5000
Dy: 0.5000 0.0000 0.5000
Dy: 0.5000 0.5000 0.0000
Dy: 0.5000 0.5000 0.5000
Ho: 0.2514 0.2530 0.2536
Ho: 0.2514 0.2529 0.7465
Ho: 0.2512 0.7470 0.2534
Ho: 0.2516 0.7469 0.7467
Ho: 0.7484 0.2531 0.2533
Ho: 0.7488 0.2530 0.7466
Ho: 0.7486 0.7471 0.2535
Ho: 0.7486 0.7470 0.7464

Calculated values
DOS at the Fermi energy in states/eV/cell: 21.769
Energy in eV/atom: -4.628
Total moment in Bohr magnetons per cell: 0.00
DFT formation energy in eV per atom: 0.02
Volume in Å³/cell: 516.2

An optimized crystal structure of LaPmDy2Ho2, computed with PBE.

Cell: 6.9900 16.1353 3.5639 Å, 90.00 90.00 90.00°
Element x y z (fractional)
La: 0.0000 0.0000 0.0000
La: 0.5000 0.5000 0.5000
Pm: 0.0000 0.5000 0.5000
Pm: 0.5000 0.0000 0.0000
Dy: 0.2491 0.3414 0.0000
Dy: 0.2509 0.8414 0.5000
Dy: 0.7491 0.1586 0.5000
Dy: 0.7509 0.6586 0.0000
Ho: 0.2503 0.1577 0.5000
Ho: 0.2497 0.6577 0.0000
Ho: 0.7503 0.3423 0.0000
Ho: 0.7497 0.8423 0.5000

Calculated values
DOS at the Fermi energy in states/eV/cell: 19.435
Energy in eV/atom: -4.499
Total moment in Bohr magnetons per cell: 0.00
DFT formation energy in eV per atom: 0.17
Volume in Å³/cell: 402.0

An optimized crystal structure of LaPm5DyHo2, computed with PBE.

Cell: 10.5045 10.5045 10.6696 Å, 90.00 90.00 148.46°
Element x y z (fractional)
La: 0.0837 0.9163 0.5000
La: 0.9163 0.0837 0.0000
Pm: 0.0202 0.9798 0.7888
Pm: 0.1142 0.8858 0.0724
Pm: 0.2036 0.7964 0.7554
Pm: 0.2192 0.7808 0.3625
Pm: 0.4829 0.5171 0.0724
Pm: 0.5171 0.4829 0.5724
Pm: 0.7808 0.2192 0.8625
Pm: 0.7964 0.2036 0.2554
Pm: 0.8858 0.1142 0.5724
Pm: 0.9798 0.0202 0.2888
Dy: 0.3003 0.6997 0.0599
Dy: 0.6997 0.3003 0.5599
Ho: 0.3845 0.6155 0.3682
Ho: 0.3870 0.6130 0.7822
Ho: 0.6130 0.3870 0.2822
Ho: 0.6155 0.3845 0.8682

Calculated values
DOS at the Fermi energy in states/eV/cell: 28.775
Energy in eV/atom: -4.564
Total moment in Bohr magnetons per cell: 0.00
DFT formation energy in eV per atom: 0.15
Volume in Å³/cell: 615.8

An optimized crystal structure of La2PmDyHo5, computed with PBE.

Cell: 9.9901 9.9901 9.9901 Å, 128.57 128.57 75.70°
Element x y z (fractional)
La: 0.1175 0.6175 0.7351
La: 0.3825 0.1175 0.5000
La: 0.6175 0.8825 0.5000
La: 0.8825 0.3825 0.2649
Pm: 0.2500 0.2500 0.0000
Pm: 0.7500 0.7500 0.0000
Dy: 0.2500 0.7500 0.5000
Dy: 0.7500 0.2500 0.5000
Ho: 0.0000 0.0000 0.0000
Ho: 0.0742 0.1434 0.5000
Ho: 0.1434 0.6434 0.0693
Ho: 0.3566 0.4258 0.5000
Ho: 0.4258 0.9258 0.0693
Ho: 0.5000 0.5000 0.0000
Ho: 0.5742 0.0742 0.9307
Ho: 0.6434 0.5742 0.5000
Ho: 0.8566 0.3566 0.9307
Ho: 0.9258 0.8566 0.5000

Calculated values
DOS at the Fermi energy in states/eV/cell: 24.219
Energy in eV/atom: -4.422
Total moment in Bohr magnetons per cell: 0.00
DFT formation energy in eV per atom: 0.26
Volume in Å³/cell: 592.8

An optimized crystal structure of La2Pm2DyHo2, computed with PBE.

Cell: 6.2738 6.2738 8.1402 Å, 97.45 97.45 48.32°
Element x y z (fractional)
La: 0.1422 0.1422 0.4250
La: 0.8578 0.8578 0.5750
Pm: 0.2851 0.2851 0.8605
Pm: 0.7149 0.7149 0.1395
Dy: 0.0000 0.0000 0.0000
Ho: 0.4296 0.4296 0.2832
Ho: 0.5704 0.5704 0.7168

Calculated values
DOS at the Fermi energy in states/eV/cell: 11.199
Energy in eV/atom: -4.705
Total moment in Bohr magnetons per cell: 0.00
DFT formation energy in eV per atom: 0.03
Volume in Å³/cell: 236.9

An optimized crystal structure of LaPm2DyHo5, computed with PBE.

Cell: 9.9009 9.9009 9.9009 Å, 127.52 127.52 77.41°
Element x y z (fractional)
La: 0.2500 0.2500 0.0000
La: 0.7500 0.7500 0.0000
Pm: 0.1165 0.6165 0.7329
Pm: 0.3835 0.1165 0.5000
Pm: 0.6165 0.8835 0.5000
Pm: 0.8835 0.3835 0.2671
Dy: 0.2500 0.7500 0.5000
Dy: 0.7500 0.2500 0.5000
Ho: 0.0000 0.0000 0.0000
Ho: 0.0729 0.1554 0.5000
Ho: 0.1554 0.6554 0.0824
Ho: 0.3446 0.4271 0.5000
Ho: 0.4271 0.9271 0.0824
Ho: 0.5000 0.5000 0.0000
Ho: 0.5729 0.0729 0.9176
Ho: 0.6554 0.5729 0.5000
Ho: 0.8446 0.3446 0.9176
Ho: 0.9271 0.8446 0.5000

Calculated values
DOS at the Fermi energy in states/eV/cell: 20.237
Energy in eV/atom: -4.397
Total moment in Bohr magnetons per cell: 0.00
DFT formation energy in eV per atom: 0.26
Volume in Å³/cell: 592.3

An optimized crystal structure of La2PmDy6Ho3, computed with PBE.

Cell: 6.2091 6.2091 11.8524 Å, 95.00 95.00 120.00°
Element x y z (fractional)
La: 0.1665 0.8335 0.0000
La: 0.8335 0.1665 0.0000
Pm: 0.5000 0.5000 0.0000
Dy: 0.0816 0.4144 0.7446
Dy: 0.2530 0.2530 0.2554
Dy: 0.4144 0.0816 0.7446
Dy: 0.5856 0.9184 0.2554
Dy: 0.7470 0.7470 0.7446
Dy: 0.9184 0.5856 0.2554
Ho: 0.0000 0.0000 0.5000
Ho: 0.3335 0.6665 0.5000
Ho: 0.6665 0.3335 0.5000

Calculated values
DOS at the Fermi energy in states/eV/cell: 16.449
Energy in eV/atom: -4.641
Total moment in Bohr magnetons per cell: 0.00
DFT formation energy in eV per atom: 0.02
Volume in Å³/cell: 389.7

An optimized crystal structure of La2PmDy4Ho, computed with PBE.

Cell: 9.5587 9.5587 6.8281 Å, 110.93 110.93 88.25°
Element x y z (fractional)
La: 0.0000 0.0000 0.0000
La: 0.0000 0.0000 0.5000
La: 0.0000 0.5000 0.0000
La: 0.5000 0.0000 0.5000
Pm: 0.0000 0.5000 0.5000
Pm: 0.5000 0.0000 0.0000
Dy: 0.2545 0.7441 0.5008
Dy: 0.2550 0.2551 0.0037
Dy: 0.2551 0.2550 0.5037
Dy: 0.2559 0.7455 0.9992
Dy: 0.7441 0.2545 0.0008
Dy: 0.7449 0.7450 0.4963
Dy: 0.7450 0.7449 0.9963
Dy: 0.7455 0.2559 0.4992
Ho: 0.5000 0.5000 0.0000
Ho: 0.5000 0.5000 0.5000

Calculated values
DOS at the Fermi energy in states/eV/cell: 39.250
Energy in eV/atom: -4.302
Total moment in Bohr magnetons per cell: 0.04
DFT formation energy in eV per atom: 0.40
Volume in Å³/cell: 540.9

An optimized crystal structure of LaPm2DyHo4, computed with PBE.

Cell: 7.1977 7.2133 10.0385 Å, 89.98 89.95 89.74°
Element x y z (fractional)
La: 0.0000 0.0000 0.0000
La: 0.0000 0.5000 0.0000
Pm: 0.0000 0.0000 0.5000
Pm: 0.5000 0.0000 0.0000
Pm: 0.5000 0.0000 0.5000
Pm: 0.5000 0.5000 0.5000
Dy: 0.0000 0.5000 0.5000
Dy: 0.5000 0.5000 0.0000
Ho: 0.2514 0.2516 0.7482
Ho: 0.2516 0.2515 0.2518
Ho: 0.2516 0.7483 0.2517
Ho: 0.2516 0.7484 0.7483
Ho: 0.7484 0.2516 0.2517
Ho: 0.7484 0.2517 0.7483
Ho: 0.7484 0.7485 0.7482
Ho: 0.7486 0.7484 0.2518

Calculated values
DOS at the Fermi energy in states/eV/cell: 20.637
Energy in eV/atom: -4.650
Total moment in Bohr magnetons per cell: 0.00
DFT formation energy in eV per atom: 0.02
Volume in Å³/cell: 521.2

An optimized crystal structure of LaPmDy5Ho2, computed with PBE.

Cell: 9.7860 9.7860 9.7860 Å, 125.77 125.77 80.27°
Element x y z (fractional)
La: 0.2500 0.2500 0.0000
La: 0.7500 0.7500 0.0000
Pm: 0.2500 0.7500 0.5000
Pm: 0.7500 0.2500 0.5000
Dy: 0.0000 0.0000 0.0000
Dy: 0.0721 0.5721 0.9048
Dy: 0.1673 0.0721 0.5000
Dy: 0.3327 0.8327 0.9048
Dy: 0.4279 0.3327 0.5000
Dy: 0.5000 0.5000 0.0000
Dy: 0.5721 0.6673 0.5000
Dy: 0.6673 0.1673 0.0952
Dy: 0.8327 0.9279 0.5000
Dy: 0.9279 0.4279 0.0952
Ho: 0.1140 0.3860 0.5000
Ho: 0.3860 0.8860 0.2720
Ho: 0.6140 0.1140 0.7280
Ho: 0.8860 0.6140 0.5000

Calculated values
DOS at the Fermi energy in states/eV/cell: 24.860
Energy in eV/atom: -4.371
Total moment in Bohr magnetons per cell: 0.00
DFT formation energy in eV per atom: 0.28
Volume in Å³/cell: 595.4

An optimized crystal structure of LaPmDy3Ho, computed with PBE.

Cell: 10.3301 10.3301 7.0800 Å, 90.58 90.58 31.85°
Element x y z (fractional)
La: 0.1454 0.1454 0.0308
La: 0.8546 0.8546 0.9692
Pm: 0.4471 0.4471 0.7326
Pm: 0.5529 0.5529 0.2674
Dy: 0.0229 0.0229 0.7371
Dy: 0.2796 0.2796 0.7550
Dy: 0.3355 0.3355 0.2705
Dy: 0.6645 0.6645 0.7295
Dy: 0.7204 0.7204 0.2450
Dy: 0.9771 0.9771 0.2629
Ho: 0.1496 0.1496 0.4602
Ho: 0.8504 0.8504 0.5398

Calculated values
DOS at the Fermi energy in states/eV/cell: 19.889
Energy in eV/atom: -4.484
Total moment in Bohr magnetons per cell: 0.00
DFT formation energy in eV per atom: 0.19
Volume in Å³/cell: 398.7

An optimized crystal structure of LaPm3Dy6Ho2, computed with PBE.

Cell: 6.2108 6.2108 11.8661 Å, 94.99 94.99 119.98°
Element x y z (fractional)
La: 0.0000 0.0000 0.0000
Pm: 0.1671 0.8329 0.5000
Pm: 0.5000 0.5000 0.5000
Pm: 0.8329 0.1671 0.5000
Dy: 0.0838 0.4184 0.2494
Dy: 0.2510 0.2510 0.7504
Dy: 0.4184 0.0838 0.2494
Dy: 0.5816 0.9162 0.7506
Dy: 0.7490 0.7490 0.2496
Dy: 0.9162 0.5816 0.7506
Ho: 0.3333 0.6667 0.0000
Ho: 0.6667 0.3333 0.0000

Calculated values
DOS at the Fermi energy in states/eV/cell: 15.416
Energy in eV/atom: -4.644
Total moment in Bohr magnetons per cell: 0.00
DFT formation energy in eV per atom: 0.02
Volume in Å³/cell: 390.5

An optimized crystal structure of La6Pm2DyHo, computed with PBE.

Cell: 6.7573 6.7573 9.2416 Å, 105.13 105.13 62.52°
Element x y z (fractional)
La: 0.0713 0.5367 0.1986
La: 0.1276 0.1276 0.4207
La: 0.4633 0.9287 0.8014
La: 0.5367 0.0713 0.1986
La: 0.8724 0.8724 0.5793
La: 0.9287 0.4633 0.8014
Pm: 0.4257 0.4257 0.8284
Pm: 0.5743 0.5743 0.1716
Dy: 0.5000 0.5000 0.5000
Ho: 0.0000 0.0000 0.0000

Calculated values
DOS at the Fermi energy in states/eV/cell: 16.672
Energy in eV/atom: -4.642
Total moment in Bohr magnetons per cell: 0.00
DFT formation energy in eV per atom: 0.18
Volume in Å³/cell: 356.5

An optimized crystal structure of LaPm2DyHo, computed with PBE.

Cell: 8.6940 6.4874 6.3318 Å, 90.00 100.47 90.00°
Element x y z (fractional)
La: 0.0000 0.0000 0.0000
La: 0.0000 0.0000 0.5000
Pm: 0.3154 0.3164 0.1917
Pm: 0.3154 0.6836 0.6917
Pm: 0.6846 0.3164 0.3083
Pm: 0.6846 0.6836 0.8083
Dy: 0.0000 0.4505 0.7500
Dy: 0.0000 0.5495 0.2500
Ho: 0.5000 0.1651 0.7500
Ho: 0.5000 0.8349 0.2500

Calculated values
DOS at the Fermi energy in states/eV/cell: 14.940
Energy in eV/atom: -4.441
Total moment in Bohr magnetons per cell: 0.00
DFT formation energy in eV per atom: 0.28
Volume in Å³/cell: 351.2

An optimized crystal structure of La2Pm4DyHo, computed with PBE.

Cell: 7.2972 7.3000 10.3284 Å, 90.06 90.04 90.21°
Element x y z (fractional)
La: 0.0000 0.0000 0.0000
La: 0.0000 0.0000 0.5000
La: 0.0000 0.5000 0.0000
La: 0.5000 0.0000 0.0000
Pm: 0.2534 0.2530 0.2532
Pm: 0.2535 0.2533 0.7467
Pm: 0.2529 0.7470 0.2536
Pm: 0.2530 0.7468 0.7462
Pm: 0.7470 0.2532 0.2538
Pm: 0.7471 0.2530 0.7464
Pm: 0.7465 0.7467 0.2533
Pm: 0.7466 0.7470 0.7468
Dy: 0.5000 0.0000 0.5000
Dy: 0.5000 0.5000 0.5000
Ho: 0.0000 0.5000 0.5000
Ho: 0.5000 0.5000 0.0000

Calculated values
DOS at the Fermi energy in states/eV/cell: 27.306
Energy in eV/atom: -4.733
Total moment in Bohr magnetons per cell: 0.00
DFT formation energy in eV per atom: 0.02
Volume in Å³/cell: 550.2

An optimized crystal structure of La2Pm3DyHo6, computed with PBE.

Cell: 6.2389 6.2389 11.8289 Å, 95.03 95.03 119.99°
Element x y z (fractional)
La: 0.1665 0.8335 0.0000
La: 0.8335 0.1665 0.0000
Pm: 0.0000 0.0000 0.5000
Pm: 0.3333 0.6667 0.5000
Pm: 0.6667 0.3333 0.5000
Dy: 0.5000 0.5000 0.0000
Ho: 0.0839 0.4163 0.7487
Ho: 0.2515 0.2515 0.2515
Ho: 0.4163 0.0839 0.7487
Ho: 0.5837 0.9161 0.2513
Ho: 0.7485 0.7485 0.7485
Ho: 0.9161 0.5837 0.2513

Calculated values
DOS at the Fermi energy in states/eV/cell: 14.011
Energy in eV/atom: -4.666
Total moment in Bohr magnetons per cell: 0.00
DFT formation energy in eV per atom: 0.02
Volume in Å³/cell: 392.6

An optimized crystal structure of La3PmDy2Ho6, computed with PBE.

Cell: 6.2349 6.2349 11.8375 Å, 95.03 95.03 120.00°
Element x y z (fractional)
La: 0.0000 0.0000 0.0000
La: 0.3331 0.6669 0.0000
La: 0.6669 0.3331 0.0000
Pm: 0.5000 0.5000 0.5000
Dy: 0.1667 0.8333 0.5000
Dy: 0.8333 0.1667 0.5000
Ho: 0.0846 0.4184 0.2546
Ho: 0.2478 0.2478 0.7455
Ho: 0.4184 0.0846 0.2546
Ho: 0.5816 0.9154 0.7454
Ho: 0.7522 0.7522 0.2545
Ho: 0.9154 0.5816 0.7454

Calculated values
DOS at the Fermi energy in states/eV/cell: 15.526
Energy in eV/atom: -4.664
Total moment in Bohr magnetons per cell: 0.00
DFT formation energy in eV per atom: 0.02
Volume in Å³/cell: 392.3

An optimized crystal structure of La2Pm5DyHo, computed with PBE.

Cell: 10.5471 10.5471 10.8240 Å, 90.00 90.00 148.50°
Element x y z (fractional)
La: 0.1140 0.8860 0.5000
La: 0.1171 0.8829 0.0831
La: 0.8829 0.1171 0.5831
La: 0.8860 0.1140 0.0000
Pm: 0.0157 0.9843 0.7863
Pm: 0.2787 0.7213 0.0773
Pm: 0.2967 0.7033 0.4697
Pm: 0.3854 0.6146 0.7871
Pm: 0.4818 0.5182 0.5082
Pm: 0.5182 0.4818 0.0082
Pm: 0.6146 0.3854 0.2871
Pm: 0.7033 0.2967 0.9697
Pm: 0.7213 0.2787 0.5773
Pm: 0.9843 0.0157 0.2863
Dy: 0.4085 0.5915 0.2286
Dy: 0.5915 0.4085 0.7286
Ho: 0.2006 0.7994 0.7760
Ho: 0.7994 0.2006 0.2760

Calculated values
DOS at the Fermi energy in states/eV/cell: 25.515
Energy in eV/atom: -4.627
Total moment in Bohr magnetons per cell: 0.00
DFT formation energy in eV per atom: 0.13
Volume in Å³/cell: 629.0

An optimized crystal structure of LaPm3Dy2Ho6, computed with PBE.

Cell: 6.2040 6.2040 11.8186 Å, 95.00 95.00 119.98°
Element x y z (fractional)
La: 0.0000 0.0000 0.0000
Pm: 0.1670 0.8330 0.5000
Pm: 0.5000 0.5000 0.5000
Pm: 0.8330 0.1670 0.5000
Dy: 0.3333 0.6667 0.0000
Dy: 0.6667 0.3333 0.0000
Ho: 0.0839 0.4185 0.2498
Ho: 0.2508 0.2508 0.7501
Ho: 0.4185 0.0839 0.2498
Ho: 0.5815 0.9161 0.7502
Ho: 0.7492 0.7492 0.2499
Ho: 0.9161 0.5815 0.7502

Calculated values
DOS at the Fermi energy in states/eV/cell: 14.892
Energy in eV/atom: -4.636
Total moment in Bohr magnetons per cell: 0.00
DFT formation energy in eV per atom: 0.02
Volume in Å³/cell: 388.0